[1]
A relaxed Tb2Cd16Pb crystal. Source: the Alexandria database, functional PBE.

Cell lengths 7.692, 7.692, 7.692 Å; angles 83.71, 83.71, 83.71 degrees
Fractional positions:
Tb (0.000, 0.000, 0.000)
Tb (0.337, 0.337, 0.337)
Cd (0.032, 0.032, 0.460)
Cd (0.032, 0.460, 0.032)
Cd (0.140, 0.687, 0.687)
Cd (0.320, 0.320, 0.809)
Cd (0.320, 0.809, 0.320)
Cd (0.352, 0.661, 0.983)
Cd (0.352, 0.983, 0.661)
Cd (0.460, 0.032, 0.032)
Cd (0.661, 0.352, 0.983)
Cd (0.661, 0.983, 0.352)
Cd (0.687, 0.140, 0.687)
Cd (0.687, 0.687, 0.140)
Cd (0.767, 0.767, 0.767)
Cd (0.809, 0.320, 0.320)
Cd (0.983, 0.352, 0.661)
Cd (0.983, 0.661, 0.352)
Pb (0.564, 0.564, 0.564)

Energy of formation from the pure elements (meV/atom): -95
Space group: R3m
Magnetic moment (μB per cell): 0.00


[2]
A relaxed Tb2Cd3Pb3 crystal. Source: the Alexandria database, functional PBE.

Cell lengths 4.682, 4.893, 9.134 Å; angles 90.00, 90.00, 90.00 degrees
Fractional positions:
Tb (0.000, 0.000, 0.249)
Tb (0.000, 0.000, 0.751)
Cd (0.000, 0.500, 0.500)
Cd (0.500, 0.500, 0.263)
Cd (0.500, 0.500, 0.737)
Pb (0.000, 0.500, 0.000)
Pb (0.500, 0.000, 0.000)
Pb (0.500, 0.000, 0.500)

Energy of formation from the pure elements (meV/atom): -331
Space group: Pmmm
Magnetic moment (μB per cell): 0.00


Q: Which value of magnetic moment does entry 2 give?
A: 0.00 μB per cell